The following is a PBE calculation of a relaxed structure of Dy2Ho3Th3, from Alexandria via LeMat-Bulk.

Cell and atoms, written as extended XYZ:
```
8
Lattice="6.0093 -0.7568 -0.8620 -1.6450 5.7134 -1.6970 -0.9392 -0.1568 7.8715" Properties=species:S:1:pos:R:3 pbc="T T T"
Dy 0.6241 1.1664 3.3152
Dy 2.8009 3.6334 1.9973
Th 2.1821 2.4783 -1.2795
Th 3.3103 0.1910 1.1864
Th 0.1148 4.6088 4.1261
Ho 0.0000 0.0000 0.0000
Ho 3.9429 1.3726 4.5392
Ho -0.5178 3.4272 0.7734
```

- ΔE to the lowest computed polymorph (meV per atom) = 0.0
- formation enthalpy at 0 K (kJ/mol of formula units) = 29

***

The following is a PBE calculation of a relaxed structure of NpAuI6, from Alexandria via LeMat-Bulk.

Cell and atoms, written as extended XYZ:
```
8
Lattice="-2.9905 -2.9575 6.4897 6.5416 -3.0698 -2.7549 1.9302 7.5232 1.8988" Properties=species:S:1:pos:R:3 pbc="T T T"
I 2.6676 1.1346 5.7936
I 5.7228 1.0986 2.8306
I -0.2415 0.3973 2.8030
I 2.8136 0.3613 -0.1601
I 3.0796 -2.1171 3.2011
I 2.4017 3.6130 2.4325
Np 2.7406 0.7479 2.8168
Au 0.0000 0.0000 0.0000
```

- energy relative to the elements, uncorrected (meV/atom) = -459.1

***

The following is a PBE calculation of a relaxed structure of Rb2BaTiGa, from Alexandria via LeMat-Bulk.

Cell and atoms, written as extended XYZ:
```
5
Lattice="7.0168 0.0000 0.0000 0.0000 5.2697 0.0000 0.0000 0.0000 7.0168" Properties=species:S:1:pos:R:3 pbc="T T T"
Ba 0.0000 0.0000 0.0000
Rb 3.5084 0.0000 0.0000
Rb 0.0000 0.0000 3.5084
Ga 3.5084 2.6348 3.5084
Ti 0.0000 2.6348 0.0000
```

- formation enthalpy at 0 K (kJ/mol of formula units) = 614

***

The following is a PBE calculation of a relaxed structure of ZrPb, from Alexandria via LeMat-Bulk.

Cell and atoms, written as extended XYZ:
```
6
Lattice="7.5926 0.0000 0.0000 -3.7963 6.5754 0.0000 0.0000 0.0000 3.2124" Properties=species:S:1:pos:R:3 pbc="T T T"
Zr -2.8781 4.9850 1.6062
Zr 5.7562 0.0000 1.6062
Zr 0.9182 1.5904 1.6062
Pb 2.2353 3.8717 0.0000
Pb -1.5610 2.7037 0.0000
Pb 3.1219 0.0000 0.0000
```

- formation enthalpy at 0 K (kJ/mol of formula units) = 10

***

The following is a PBE calculation of a relaxed structure of Ac2Pr8Dy, from Alexandria via LeMat-Bulk.

Cell and atoms, written as extended XYZ:
```
11
Lattice="-1.2642 0.0622 5.6933 6.3696 -8.6131 0.8760 10.2886 -2.6159 1.6807" Properties=species:S:1:pos:R:3 pbc="T T T"
Ac 11.6511 -8.0580 3.3094
Ac 3.7429 -3.1089 4.9406
Pr 8.7738 -6.0997 2.7283
Pr 2.6453 -1.9601 1.7246
Pr 5.0283 -5.6466 2.2971
Pr 10.3657 -5.5202 5.9529
Pr 6.8846 -2.8060 2.6783
Pr 12.7487 -9.2068 6.5254
Pr 6.6202 -5.0672 5.5216
Pr 8.5094 -8.3609 5.5717
Dy 0.0000 0.0000 0.0000
```

- ΔE to the lowest computed polymorph (meV per atom) = 28.0
- formation enthalpy at 0 K (kJ/mol of formula units) = 191

***

The following is a PBE calculation of a relaxed structure of CrReGe2, from Alexandria via LeMat-Bulk.

Cell and atoms, written as extended XYZ:
```
4
Lattice="-1.5381 2.4780 0.4478 -2.8651 0.1046 -0.6980 -3.5835 -1.9458 8.1801" Properties=species:S:1:pos:R:3 pbc="T T T"
Cr 0.0000 0.0000 0.0000
Ge -2.9943 -1.1642 5.8790
Ge -4.9924 1.8010 2.0509
Re -3.9933 0.3184 3.9649
```

- ΔE to the lowest computed polymorph (meV per atom) = 333.3
- formation enthalpy at 0 K (kJ/mol of formula units) = 194

***

The following is a PBE calculation of a relaxed structure of Y2HgSb, from Alexandria via LeMat-Bulk.

Cell and atoms, written as extended XYZ:
```
4
Lattice="3.9235 0.0000 0.0000 0.0000 3.9235 0.0000 0.0000 0.0000 6.8842" Properties=species:S:1:pos:R:3 pbc="T T T"
Y 0.0000 0.0000 5.1953
Y 0.0000 0.0000 1.6889
Hg 1.9617 1.9617 3.4421
Sb 1.9617 1.9617 0.0000
```

- ΔE to the lowest computed polymorph (meV per atom) = 83.6
- energy relative to the elements, uncorrected (meV/atom) = -703.5

***

The following is a PBE calculation of a relaxed structure of In5Ag3Br12, from Alexandria via LeMat-Bulk.

Cell and atoms, written as extended XYZ:
```
80
Lattice="-8.4742 -9.0813 9.1616 -3.2633 -3.1041 -14.7625 14.9868 -2.6043 2.6136" Properties=species:S:1:pos:R:3 pbc="T T T"
In 6.0245 -5.0620 -1.6121
In 1.1360 -10.3498 5.9593
In 2.1133 -4.4398 -8.9466
In 7.6544 -5.7467 3.5505
In 1.7856 -11.8394 0.7500
In 5.8617 -2.8542 -6.0745
In -2.1203 -4.5071 0.0717
In -1.6317 -1.5521 -7.3813
In -4.4050 -9.0430 -6.5378
In -2.7751 -9.7277 -1.3753
In -3.1006 -5.3120 -10.3001
In -5.8687 -6.0927 -2.8005
In 3.2563 -5.8428 5.8876
In 7.4934 -1.3021 1.3068
In -4.2371 -4.5407 4.5808
In 1.4637 -2.9503 -3.7374
In 5.3696 -10.2826 -3.0590
In 6.3499 -9.4777 7.3128
In 1.6247 -7.3948 -1.4937
In 0.0000 0.0000 0.0000
Ag 11.2384 -4.1899 -0.2585
Ag -1.4707 -5.9966 -5.1376
Ag -5.7060 -8.3006 1.6620
Ag -0.4921 -7.4284 3.0155
Ag -4.0761 -8.9852 6.8245
Ag 3.7415 -7.3612 -6.0028
Ag 3.0936 -3.6349 1.4252
Ag 4.7200 -8.7931 2.1503
Ag -7.9890 -10.5998 -2.7288
Ag 7.3254 -5.8045 -9.8118
Ag 0.1557 -11.1547 -4.4125
Ag 8.9553 -6.4891 -4.6493
Br 1.6520 -4.7792 -11.5483
Br -2.2250 -12.2279 -2.1122
Br 12.4075 -4.5066 3.0039
Br 0.7916 -6.1775 -7.4200
Br -1.7753 -9.2977 -6.1965
Br -5.3699 -10.5113 3.9770
Br -1.4026 -9.9040 5.2857
Br 1.4150 -9.2322 1.1529
Br 0.9435 -4.7018 3.9451
Br 2.0164 -2.1936 -1.2436
Br -5.3388 -9.0846 -1.7087
Br -9.1581 -10.2831 -5.9913
Br 6.6911 -8.7711 -4.8100
Br 4.3840 -6.4956 -0.0789
Br 1.5974 -10.0105 8.5610
Br 8.5881 -5.7051 -1.2786
Br -4.8416 -6.5114 -5.8326
Br -7.1164 -10.9983 0.6165
Br 5.4743 -2.5618 -0.8751
Br 9.2565 -7.5749 -7.9419
Br 2.8312 -9.6106 -3.5083
Br -2.4021 -9.3041 1.2283
Br -2.8782 -4.9283 -2.4473
Br -1.1347 -8.2940 -2.9084
Br 4.9401 -10.9050 9.0656
Br -5.8151 -10.7831 -5.0953
Br -1.1002 -2.6200 -4.3811
Br -1.9249 -6.4757 5.7357
Br 1.8344 -5.5574 -4.1402
Br 4.6519 -4.8857 -8.2730
Br 5.1742 -8.3140 -8.7230
Br 9.0644 -4.0066 2.1080
Br -2.6615 -4.5867 -7.7746
Br 2.4577 -8.6122 4.4326
Br 1.2330 -12.5961 -1.7438
Br -1.6908 -3.8847 -12.0529
Br 8.6193 -4.2784 -6.9644
Br 5.6514 -5.4856 -4.2156
Br -3.4418 -6.0186 1.8227
Br 8.0909 -8.2783 2.8453
Br 5.9108 -10.2030 4.7873
Br 4.3495 -12.1697 1.3938
Br 6.1275 -9.8614 -0.5400
Br 10.3658 -3.7914 -3.6038
Br 2.3058 -10.0879 -6.9324
Br 5.0246 -5.4920 3.2091
Br -6.0072 -7.2148 4.9546
Br 0.4181 -5.1791 0.5210
```

- energy relative to the elements, uncorrected (meV/atom) = -429.9

***

The following is a PBE calculation of a relaxed structure of Sr2DyHfAs4, from Alexandria via LeMat-Bulk.

Cell and atoms, written as extended XYZ:
```
8
Lattice="-3.9992 0.9379 -0.3685 -1.3820 -3.4860 6.1259 1.5280 7.1637 1.6511" Properties=species:S:1:pos:R:3 pbc="T T T"
Hf 0.0000 0.0000 0.0000
Sr 0.0730 1.8388 3.8885
Sr -1.2356 4.0508 0.6413
As -1.9863 1.2048 1.5445
As -0.7080 -1.0656 4.9716
As 0.8539 4.7432 2.8055
As -1.8670 3.4108 5.8640
Dy -2.6906 -1.2740 2.8787
```

- formation enthalpy at 0 K (kJ/mol of formula units) = -895

***

The following is a PBE calculation of a relaxed structure of Pr3YRh, from Alexandria via LeMat-Bulk.

Cell and atoms, written as extended XYZ:
```
10
Lattice="6.3819 -0.0001 -0.0002 0.0002 6.7150 -0.0013 0.0000 0.0008 7.8373" Properties=species:S:1:pos:R:3 pbc="T T T"
Pr 2.7135 5.8054 7.4296
Pr 2.7122 5.8050 3.5521
Pr 5.8784 0.1798 5.4911
Pr 2.6879 2.1898 1.5733
Pr 5.9038 3.2795 3.5125
Pr 5.9037 3.2800 7.4709
Y 2.7557 2.2627 5.4918
Y 5.9466 0.1067 1.5724
Rh 4.3082 4.5854 1.5731
Rh 1.1171 4.4984 5.4919
```

- ΔE to the lowest computed polymorph (meV per atom) = 0.0
- formation enthalpy at 0 K (kJ/mol of formula units) = -104

***

The following is a PBE calculation of a relaxed structure of Ac3Hg2O2, from Alexandria via LeMat-Bulk.

Cell and atoms, written as extended XYZ:
```
7
Lattice="-2.2654 2.7963 2.3201 -4.7523 -6.2169 -1.0986 5.6181 0.3158 5.1050" Properties=species:S:1:pos:R:3 pbc="T T T"
Hg -3.8048 -4.2561 1.4146
Hg 2.4051 1.1513 4.9119
Ac 1.2142 -1.8704 3.4399
Ac -2.6139 -1.2344 2.8866
Ac 0.0000 0.0000 0.0000
O -0.5266 -1.8131 1.6710
O -0.8731 -1.2917 4.6555
```

- energy relative to the elements, uncorrected (meV/atom) = -1824.7

***

The following is a PBE calculation of a relaxed structure of Rb3CdAs, from Alexandria via LeMat-Bulk.

Cell and atoms, written as extended XYZ:
```
5
Lattice="6.7952 0.0000 0.0000 0.0000 6.7952 0.0000 0.0000 0.0000 6.7952" Properties=species:S:1:pos:R:3 pbc="T T T"
As 0.0000 0.0000 0.0000
Rb 3.3976 0.0000 0.0000
Rb 0.0000 0.0000 3.3976
Rb 0.0000 3.3976 0.0000
Cd 3.3976 3.3976 3.3976
```

- ΔE to the lowest computed polymorph (meV per atom) = 0.0
- formation enthalpy at 0 K (kJ/mol of formula units) = -26

***

The following is a PBE calculation of a relaxed structure of Cs3Mn2Br9, from Alexandria via LeMat-Bulk.

Cell and atoms, written as extended XYZ:
```
28
Lattice="-3.0288 -1.3347 9.6557 -8.3187 -5.7182 -1.5133 3.8560 -9.2752 1.8140" Properties=species:S:1:pos:R:3 pbc="T T T"
Mn -4.9833 -10.8614 6.6230
Mn -6.2539 -13.6306 8.3116
Mn -2.5081 -5.4666 3.3334
Mn -1.2376 -2.6974 1.6448
Cs -0.7961 -9.4250 1.5988
Cs -0.3514 -10.6647 6.9621
Cs -7.1401 -5.6633 2.9943
Cs -6.0633 -11.0063 2.1040
Cs -6.6954 -6.9030 8.3576
Cs -1.4282 -5.3217 7.8524
Br -3.7474 -3.5343 1.9768
Br -6.6786 -11.0234 8.6747
Br -4.1010 -5.2009 5.2338
Br -3.8380 -7.2073 2.1414
Br -3.3905 -11.1271 4.7226
Br -0.3873 -8.3588 9.9111
Br -7.1042 -7.9692 0.0453
Br -1.0584 -3.4071 4.2088
Br 1.9706 -9.6541 4.1103
Br -9.4621 -6.6739 5.8461
Br -6.4933 -9.2575 5.4540
Br -0.9981 -7.0705 4.5024
Br -2.8334 -12.6101 1.0987
Br -0.8128 -5.3046 1.2817
Br -3.7441 -12.7937 7.9796
Br -4.6581 -3.7179 8.8577
Br -6.4331 -12.9209 5.7476
Br -3.6535 -9.1207 7.8150
```

- energy relative to the elements, uncorrected (meV/atom) = -1177.9

***

The following is a PBE calculation of a relaxed structure of AgHgBr3, from Alexandria via LeMat-Bulk.

Cell and atoms, written as extended XYZ:
```
10
Lattice="-4.3987 1.0615 -0.1405 -1.4276 -5.3059 4.6090 3.5259 6.0185 8.0207" Properties=species:S:1:pos:R:3 pbc="T T T"
Br -1.5238 4.3868 7.9142
Br -0.0310 1.2200 10.1890
Br -2.3781 0.1504 2.6510
Br -2.6341 -0.2784 7.4277
Br 0.2839 1.8675 5.2222
Br -0.9164 -3.1321 5.0262
Ag -0.2947 -0.6369 4.4150
Ag -2.6325 0.0816 10.0977
Hg 0.2678 2.1411 7.7942
Hg -3.1967 -2.7030 6.7242
```

- ΔE to the lowest computed polymorph (meV per atom) = 0.0
- energy relative to the elements, uncorrected (meV/atom) = -386.6

***

The following is a PBE calculation of a relaxed structure of Nd2DyTlC, from Alexandria via LeMat-Bulk.

Cell and atoms, written as extended XYZ:
```
5
Lattice="4.9324 0.0000 0.0000 0.0000 5.1378 0.0000 0.0000 0.0000 5.1378" Properties=species:S:1:pos:R:3 pbc="T T T"
C 0.0000 0.0000 0.0000
Nd 0.0000 2.5689 0.0000
Nd 0.0000 0.0000 2.5689
Tl 2.4662 2.5689 2.5689
Dy 2.4662 0.0000 0.0000
```

- formation enthalpy at 0 K (kJ/mol of formula units) = -158

***

The following is a PBE calculation of a relaxed structure of CrPtPb, from Alexandria via LeMat-Bulk.

Cell and atoms, written as extended XYZ:
```
3
Lattice="-4.9959 0.6093 -0.5866 -2.5914 -3.3718 -2.7551 3.3752 -0.0199 3.7792" Properties=species:S:1:pos:R:3 pbc="T T T"
Pt -5.0009 -1.8208 -2.2026
Pb -2.5058 -0.9123 -1.1036
Cr -0.0806 -0.0293 -0.0355
```

- ΔE to the lowest computed polymorph (meV per atom) = 53.6
- formation enthalpy at 0 K (kJ/mol of formula units) = 61

***

The following is a PBE calculation of a relaxed structure of ScGaS2, from Alexandria via LeMat-Bulk.

Cell and atoms, written as extended XYZ:
```
8
Lattice="6.7054 0.0000 0.0000 0.0000 6.7054 0.0000 3.3527 3.3527 4.9628" Properties=species:S:1:pos:R:3 pbc="T T T"
Ga 0.0000 0.0000 0.0000
Ga 6.7054 3.3527 2.4814
S 8.3817 7.9970 3.7221
S 2.0610 5.0290 1.2407
S 4.6443 1.6763 1.2407
S 5.0290 5.4137 3.7221
Sc 3.3527 3.3527 0.0000
Sc 3.3527 6.7054 2.4814
```

- energy relative to the elements, uncorrected (meV/atom) = -1047.6

***

The following is a PBE calculation of a relaxed structure of TaIn2P, from Alexandria via LeMat-Bulk.

Cell and atoms, written as extended XYZ:
```
4
Lattice="5.1960 0.0000 0.0000 0.0000 3.2065 -0.0046 0.0000 3.2933 4.9951" Properties=species:S:1:pos:R:3 pbc="T T T"
In 0.0000 2.5871 2.4985
In 0.0000 3.9562 4.9918
P 2.5980 1.6250 1.2476
Ta 2.5980 4.8749 3.7428
```

- formation enthalpy at 0 K (kJ/mol of formula units) = 126

***

The following is a PBE calculation of a relaxed structure of KFeP, from Alexandria via LeMat-Bulk.

Cell and atoms, written as extended XYZ:
```
3
Lattice="4.5284 0.0000 0.0000 2.2642 3.9217 0.0000 2.2642 1.3072 3.6974" Properties=species:S:1:pos:R:3 pbc="T T T"
P 4.5284 2.6144 1.8487
Fe 6.7925 3.9217 2.7730
K 0.0000 0.0000 0.0000
```

- formation enthalpy at 0 K (kJ/mol of formula units) = 201

***

The following is a PBE calculation of a relaxed structure of Tb4Nd3Y3, from Alexandria via LeMat-Bulk.

Cell and atoms, written as extended XYZ:
```
10
Lattice="-2.9565 -2.0464 -0.9738 4.0297 -1.8297 -8.3890 4.1057 -7.7001 3.7169" Properties=species:S:1:pos:R:3 pbc="T T T"
Nd 1.1823 -4.1416 -2.0110
Nd 3.9967 -7.4383 -3.6273
Nd 2.5646 -3.8647 -6.7895
Y 2.6143 -7.7063 1.1328
Y 2.0810 -3.8918 1.8608
Y 6.0926 -8.5910 -0.4431
Tb 7.1113 -8.3225 -4.1001
Tb 1.0239 -1.1917 -0.6041
Tb 4.0580 -4.0200 -3.8722
Tb 4.0773 -5.5089 -0.8017
```

- formation enthalpy at 0 K (kJ/mol of formula units) = 82